DFT (GGA-PBEsol) results for an optimized crystal structure of Cs2CrH2.

Summary:
Mass density = 3.04 g/cm³
VASP energy = -3.387 eV per atom

Lattice parameters (Å, degrees): 5.916 5.916 9.989 90.00 90.00 90.00
Space group I4/mmm (No. 139)
One atom of each set of equivalent atoms:
Cs 0.000 0.500 0.250
Cr 0.000 0.000 0.000
H 0.000 0.000 0.176